Computed, not measured: crystalline Cr2SF at its relaxed geometry at the PBE with a Hubbard U level of DFT.

Cell lengths 4.3689, 4.3689, 4.3689 Å; angles 60.00, 60.00, 60.00 degrees
With the nearest neighbours (Å) after each atom.
Fractional positions:
1 Cr 0.2500 0.2500 0.2500  4 S 2.68, 4 F 2.68
2 Cr 0.7500 0.7500 0.7500  4 S 2.68, 4 F 2.68
3 S 0.0000 0.0000 0.0000  8 Cr 2.68
4 F 0.5000 0.5000 0.5000  8 Cr 2.68

Final energy = -6.05 eV per atom
Crystal system = cubic
D(E_F) = 0.604 states/eV per atom